No. 1
## ThZn2Cd6 (GGA-PBE)

Data for crystalline ThZn2Cd6 at its relaxed geometry.

The calculation puts the total magnetic moment at 0.00 μB/f.u. As for the formation energy: -0.1093 eV per atom.

The structure belongs to space group P4/mmm (No. 123); the cell edges are 4.395, 4.395 and 10.099 Å and the angles 90.00°, 90.00° and 90.00°. Symmetry generates all atoms from Th at (0.000, 0.000, 0.000), Zn at (0.500, 0.500, 0.118), Cd at (0.000, 0.000, 0.500), Cd at (0.000, 0.500, 0.279) and Cd at (0.500, 0.500, 0.500).



No. 2
## Pm6Mg5Pb (GGA-PBE)

Data for crystalline Pm6Mg5Pb at its relaxed geometry.

The calculation puts the total magnetic moment at 0.00 μB/f.u. As for the formation energy: -0.1888 eV per atom.

The structure belongs to space group Cmmm (No. 65); the cell edges are 5.479, 16.513 and 7.691 Å and the angles 90.00°, 90.00° and 90.00°. Symmetry generates all atoms from Pm at (0.000, 0.000, 0.249), Pm at (0.000, 0.332, 0.245), Mg at (0.000, 0.165, 0.000), Mg at (0.000, 0.172, 0.500), Mg at (0.000, 0.500, 0.000) and Pb at (0.000, 0.500, 0.500).



No. 3
## Sn2PdC (GGA-PBE)

Data for crystalline Sn2PdC at its relaxed geometry.

The calculation puts the total magnetic moment at 0.00 μB/f.u. As for the formation energy: 0.4458 eV per atom.

The structure belongs to space group I-42d (No. 122); the cell edges are 6.087, 6.087 and 8.687 Å and the angles 90.00°, 90.00° and 90.00°. Symmetry generates all atoms from Sn at (0.190, 0.250, 0.125), Pd at (0.000, 0.000, 0.500) and C at (0.000, 0.000, 0.000).



No. 4
## TlHg2Au (GGA-PBE)

Data for crystalline TlHg2Au at its relaxed geometry.

The calculation puts the total magnetic moment at 0.00 μB/f.u. As for the formation energy: -0.0109 eV per atom. The energy relative to the lowest polymorph listed for this composition comes out at 12 meV/atom.

The structure belongs to space group Pnma (No. 62); the cell edges are 15.921, 8.793 and 5.878 Å and the angles 90.00°, 90.00° and 90.00°. Symmetry generates all atoms from Tl at (0.108, 0.250, 0.250), Tl at (0.141, 0.750, 0.027), Hg at (0.027, 0.043, 0.763), Hg at (0.217, 0.538, 0.517), Au at (0.073, 0.750, 0.528) and Au at (0.173, 0.250, 0.758).



No. 5
## CrFeCo4 (GGA-PBE)

Data for crystalline CrFeCo4 at its relaxed geometry.

The calculation puts the total magnetic moment at 5.86 μB/f.u. As for the formation energy: 0.1462 eV per atom. The energy relative to the lowest polymorph listed for this composition comes out at 48 meV/atom.

The structure belongs to space group F-43m (No. 216); the cell edges are 6.556, 6.556 and 6.556 Å and the angles 90.00°, 90.00° and 90.00°. Symmetry generates all atoms from Cr at (0.000, 0.000, 0.000), Fe at (0.250, 0.250, 0.750) and Co at (0.125, 0.125, 0.375).



No. 6
## CdSi2Se (GGA-PBE)

Data for crystalline CdSi2Se at its relaxed geometry.

The calculation puts the total magnetic moment at 0.00 μB/f.u. Its uncorrected formation energy is 0.46 eV/atom. The energy relative to the lowest polymorph listed for this composition comes out at 425 meV/atom.

The structure belongs to space group P4/mmm (No. 123); the cell edges are 3.817, 3.817 and 5.536 Å and the angles 90.00°, 90.00° and 90.00°. Symmetry generates all atoms from Cd at (0.000, 0.000, 0.000), Si at (0.000, 0.500, 0.500) and Se at (0.500, 0.500, 0.000).



No. 7
## TlB2IrSe (GGA-PBE)

Data for crystalline TlB2IrSe at its relaxed geometry.

The calculation puts the total magnetic moment at 0.00 μB/f.u. Its uncorrected formation energy is 2.38 eV/atom.

The structure belongs to space group P4/mmm (No. 123); the cell edges are 4.229, 4.229 and 5.626 Å and the angles 90.00°, 90.00° and 90.00°. Symmetry generates all atoms from Tl at (0.000, 0.000, 0.000), B at (0.000, 0.500, 0.000), Ir at (0.500, 0.500, 0.500) and Se at (0.000, 0.000, 0.500).



No. 8
## TbAl2Hg (GGA-PBE)

Data for crystalline TbAl2Hg at its relaxed geometry.

The calculation puts the total magnetic moment at 0.00 μB/f.u. As for the formation energy: -0.2030 eV per atom. The energy relative to the lowest polymorph listed for this composition comes out at 139 meV/atom.

The structure belongs to space group R-3m (No. 166, hexagonal axes); the cell edges are 4.4333, 4.4333 and 15.6794 Å and the angles 90.00°, 90.00° and 120.00°. Symmetry generates all atoms from Tb at (0.0000, 0.0000, 0.0000), Al at (0.0000, 0.0000, 0.2206) and Hg at (0.0000, 0.0000, 0.5000).



No. 9
## HfVP3 (GGA-PBE)

Data for crystalline HfVP3 at its relaxed geometry.

The calculation puts the total magnetic moment at 0.00 μB/f.u. As for the formation energy: 0.2131 eV per atom. The energy relative to the lowest polymorph listed for this composition comes out at 0 meV/atom.

The structure belongs to space group Pm-3m (No. 221); the cell edges are 4.492, 4.492 and 4.492 Å and the angles 90.00°, 90.00° and 90.00°. Symmetry generates all atoms from Hf at (0.000, 0.000, 0.000), V at (0.500, 0.500, 0.500) and P at (0.000, 0.500, 0.500).



No. 10
## Y6TmSe8 (GGA-PBE)

Data for crystalline Y6TmSe8 at its relaxed geometry.

The calculation puts the total magnetic moment at 0.00 μB/f.u. Its uncorrected formation energy is -1.55 eV/atom. The energy relative to the lowest polymorph listed for this composition comes out at 286 meV/atom.

The structure belongs to space group P-3 (No. 147); the cell edges are 10.8866, 10.8866 and 4.1248 Å and the angles 90.00°, 90.00° and 120.00°. Symmetry generates all atoms from Y at (0.1339, 0.4792, 0.2516), Tm at (0.0000, 0.0000, 0.0000), Se at (0.0443, 0.6963, 0.2456) and Se at (0.3333, 0.6667, 0.7517).



No. 11
## CsPbSeBr2 (GGA-PBE)

Data for crystalline CsPbSeBr2 at its relaxed geometry.

The calculation puts the total magnetic moment at 0.00 μB/f.u. Its uncorrected formation energy is 0.04 eV/atom. The energy relative to the lowest polymorph listed for this composition comes out at 939 meV/atom.

The structure belongs to space group P4/mmm (No. 123); the cell edges are 6.328, 6.328 and 5.782 Å and the angles 90.00°, 90.00° and 90.00°. Symmetry generates all atoms from Cs at (0.000, 0.000, 0.000), Pb at (0.500, 0.500, 0.500), Se at (0.000, 0.000, 0.500) and Br at (0.000, 0.500, 0.000).



No. 12
## FeTcW2 (GGA-PBE)

Data for crystalline FeTcW2 at its relaxed geometry.

The calculation puts the total magnetic moment at 2.49 μB/f.u. As for the formation energy: 0.1175 eV per atom. The energy relative to the lowest polymorph listed for this composition comes out at 14 meV/atom.

The structure belongs to space group Immm (No. 71); the cell edges are 3.148, 4.361 and 8.616 Å and the angles 90.00°, 90.00° and 90.00°. Symmetry generates all atoms from Fe at (0.000, 0.000, 0.000), Tc at (0.000, 0.000, 0.500) and W at (0.000, 0.500, 0.249).



No. 13
## Ho4PdSe3 (GGA-PBE)

Data for crystalline Ho4PdSe3 at its relaxed geometry.

The calculation puts the total magnetic moment at 0.00 μB/f.u. Its uncorrected formation energy is -1.50 eV/atom.

The structure belongs to space group Cmmm (No. 65); the cell edges are 8.283, 11.582 and 3.995 Å and the angles 90.00°, 90.00° and 90.00°. Symmetry generates all atoms from Ho at (0.000, 0.247, 0.000), Ho at (0.238, 0.000, 0.500), Pd at (0.000, 0.000, 0.000), Se at (0.000, 0.500, 0.000) and Se at (0.250, 0.250, 0.500).



No. 14
## Ca8GaAg2 (GGA-PBE)

Data for crystalline Ca8GaAg2 at its relaxed geometry.

The calculation puts the total magnetic moment at 0.00 μB/f.u. As for the formation energy: -0.2015 eV per atom. The energy relative to the lowest polymorph listed for this composition comes out at 0 meV/atom.

The structure belongs to space group C2/m (No. 12); the cell edges are 18.767, 5.307 and 7.457 Å and the angles 90.00°, 108.00° and 90.00°. Symmetry generates all atoms from Ca at (0.030, 0.000, 0.294), Ca at (0.093, 0.500, 0.946), Ca at (0.166, 0.500, 0.465), Ca at (0.202, 0.000, 0.812), Ga at (0.000, 0.500, 0.500) and Ag at (0.183, 0.000, 0.205).



No. 15
## Cu3IrCl2F6 (GGA-PBE)

Data for crystalline Cu3IrCl2F6 at its relaxed geometry.

The calculation puts the total magnetic moment at 2.00 μB/f.u. Its uncorrected formation energy is -1.13 eV/atom.

The structure belongs to space group C2/m (No. 12); the cell edges are 12.424, 6.165 and 4.677 Å and the angles 90.00°, 91.47° and 90.00°. Symmetry generates all atoms from Cu at (0.000, 0.000, 0.000), Cu at (0.250, 0.250, 0.500), Ir at (0.000, 0.500, 0.500), Cl at (0.182, 0.000, 0.204), F at (0.064, 0.263, 0.741) and F at (0.142, 0.500, 0.314).



No. 16
## TaP (GGA-PBE)

Data for crystalline TaP at its relaxed geometry.

The calculation puts the total magnetic moment at 0.00 μB/f.u. As for the formation energy: -0.1490 eV per atom.

The structure belongs to space group P4/m (No. 83); the cell edges are 10.054, 10.054 and 3.936 Å and the angles 90.00°, 90.00° and 90.00°. Symmetry generates all atoms from Ta at (0.054, 0.632, 0.000), Ta at (0.157, 0.297, 0.500), P at (0.070, 0.777, 0.500) and P at (0.199, 0.436, 0.000).



No. 17
## KTcBr3 (GGA-PBE)

Data for crystalline KTcBr3 at its relaxed geometry.

The calculation puts the total magnetic moment at 3.61 μB/f.u. Its uncorrected formation energy is -0.58 eV/atom. The energy relative to the lowest polymorph listed for this composition comes out at 294 meV/atom.

The structure belongs to space group Pm-3m (No. 221); the cell edges are 5.348, 5.348 and 5.348 Å and the angles 90.00°, 90.00° and 90.00°. Symmetry generates all atoms from K at (0.000, 0.000, 0.000), Tc at (0.500, 0.500, 0.500) and Br at (0.000, 0.500, 0.500).



No. 18
## MgTlCu2 (GGA-PBE)

Data for crystalline MgTlCu2 at its relaxed geometry.

The calculation puts the total magnetic moment at 0.00 μB/f.u. As for the formation energy: 0.0835 eV per atom.

The structure belongs to space group Pm (No. 6); the cell edges are 3.229, 4.258 and 5.371 Å and the angles 90.00°, 106.15° and 90.00°. Symmetry generates all atoms from Mg at (0.000, 0.000, 0.000), Tl at (0.695, 0.500, 0.364), Cu at (0.294, 0.000, 0.571) and Cu at (0.424, 0.500, 0.830).



No. 19
## NaLa2TeF (GGA-PBE)

Data for crystalline NaLa2TeF at its relaxed geometry.

The calculation puts the total magnetic moment at 0.00 μB/f.u. Its uncorrected formation energy is -0.55 eV/atom.

The structure belongs to space group P4/mmm (No. 123); the cell edges are 6.206, 6.206 and 4.739 Å and the angles 90.00°, 90.00° and 90.00°. Symmetry generates all atoms from Na at (0.000, 0.000, 0.000), La at (0.000, 0.500, 0.500), Te at (0.500, 0.500, 0.500) and F at (0.500, 0.500, 0.000).



No. 20
## NiBr (GGA-PBE)

Data for crystalline NiBr at its relaxed geometry.

The calculation puts the total magnetic moment at 0.99 μB/f.u. Its uncorrected formation energy is 0.18 eV/atom.

The structure belongs to space group Pm-3n (No. 223); the cell edges are 6.842, 6.842 and 6.842 Å and the angles 90.00°, 90.00° and 90.00°. Symmetry generates all atoms from Ni at (0.000, 0.250, 0.500) and Br at (0.000, 0.500, 0.250).